# 1
Computed, not measured: crystalline La2INCl at its relaxed geometry at the PBE-GGA level of DFT.

uncorrected energy: -6.039 eV/atom
E_form (uncorrected): -1.72 eV/atom
density: 5.01 Mg/m³

Cell: 8.616 8.616 11.344 Å, 129.24 129.24 28.12°
Atoms (fractional coordinates):
La 0.086 0.086 0.301
La 0.373 0.373 0.943
La 0.627 0.627 0.057
La 0.914 0.914 0.699
I 0.318 0.318 0.384
I 0.682 0.682 0.616
N 0.451 0.451 0.828
N 0.549 0.549 0.172
Cl 0.138 0.138 0.870
Cl 0.862 0.862 0.130

***

# 2
Computed, not measured: crystalline Sn2ClF2 at its relaxed geometry at the PBE-GGA level of DFT.

uncorrected energy: -4.240 eV/atom
E_form (uncorrected): -1.52 eV/atom
density: 4.86 Mg/m³

Cell: 8.974 4.395 5.608 Å, 90.00 106.18 90.00°
Atoms (fractional coordinates):
Sn 0.162 0.000 0.216
Sn 0.338 0.500 0.784
Sn 0.662 0.500 0.216
Sn 0.838 0.000 0.784
Cl 0.000 0.500 0.500
Cl 0.500 0.000 0.500
F 0.215 0.500 0.093
F 0.285 0.000 0.907
F 0.715 0.000 0.093
F 0.785 0.500 0.907

***

# 3
Computed, not measured: crystalline CuPSeO2 at its relaxed geometry at the PBE-GGA level of DFT.

uncorrected energy: -4.339 eV/atom
E_form (uncorrected): 0.24 eV/atom
density: 4.94 Mg/m³

Cell: 3.672 3.672 5.127 Å, 90.00 90.00 90.00°
Atoms (fractional coordinates):
Cu 0.000 0.000 0.000
P 0.500 0.500 0.000
Se 0.500 0.500 0.500
O 0.000 0.500 0.500
O 0.500 0.000 0.500